<1>
## BaYSi2 (PBE-GGA)

Data for a relaxed BaYSi2 crystal.

abc: 7.1333 8.4900 3.4285
angles: 90.00 90.00 90.00
Space group Cmmm (No. 65)
Asymmetric unit:
Ba (0.0000, 0.0000, 0.0000) x2
Y (0.0000, 0.5000, 0.0000) x2
Si (0.2500, 0.2500, 0.5000) x4

Its density of states at the Fermi level is 4.2 states/eV/cell. For the spin magnetization, the calculation gives 0.00 Bohr magnetons per cell.

<2>
## BaYSi2 (PBE-GGA)

Data for a relaxed BaYSi2 crystal.

abc: 4.7328 5.2013 8.7961
angles: 90.00 90.00 90.00
Space group Cmm2 (No. 35)
Asymmetric unit:
Ba (0.0000, 0.0000, 0.0000) x2
Y (0.0000, 0.5000, 0.5970) x2
Si (0.0000, 0.0000, 0.3813) x2
Si (0.0000, 0.5000, 0.2736) x2

Its density of states at the Fermi level is 6.1 states/eV/cell. For the spin magnetization, the calculation gives 0.00 Bohr magnetons per cell.

Which is most stable? The ranking, best first, is <1>, <2>.

<1>
## BaYSi2 (PBE-GGA)

Data for a relaxed BaYSi2 crystal.

abc: 3.4879 3.4879 8.7989
angles: 90.00 90.00 90.00
Space group P4mm (No. 99)
Asymmetric unit:
Ba (0.0000, 0.0000, 0.0000) x1
Y (0.5000, 0.5000, 0.5989) x1
Si (0.0000, 0.0000, 0.3804) x1
Si (0.5000, 0.5000, 0.2741) x1

Its density of states at the Fermi level is 3.4 states/eV/cell. For the spin magnetization, the calculation gives 0.00 Bohr magnetons per cell.

<2>
## BaYSi2 (PBE-GGA)

Data for a relaxed BaYSi2 crystal.

abc: 5.3672 5.3672 19.0467
angles: 90.00 90.00 90.00
Space group I-42d (No. 122)
Asymmetric unit:
Ba (0.0000, 0.0000, 0.0000) x4
Y (0.0000, 0.0000, 0.5000) x4
Si (0.0820, 0.2500, 0.6250) x8

Its density of states at the Fermi level is 12.2 states/eV/cell. For the spin magnetization, the calculation gives 0.00 Bohr magnetons per cell.

Which is most stable? The ranking, best first, is <1>, <2>.

<1>
## BaYSi2 (PBE-GGA)

Data for a relaxed BaYSi2 crystal.

abc: 3.9474 4.4612 12.6208
angles: 90.00 90.00 90.00
Space group Amm2 (No. 38)
Asymmetric unit:
Ba (0.0000, 0.0000, 0.0000) x2
Y (0.5000, 0.0000, 0.7324) x2
Si (0.0000, 0.0000, 0.2706) x2
Si (0.5000, 0.0000, 0.3885) x2

Its density of states at the Fermi level is 5.2 states/eV/cell. For the spin magnetization, the calculation gives 0.32 Bohr magnetons per cell.

<2>
## BaYSi2 (PBE-GGA)

Data for a relaxed BaYSi2 crystal.

abc: 4.4441 4.4441 10.5695
angles: 90.00 90.00 90.00
Space group I-4m2 (No. 119)
Asymmetric unit:
Ba (0.0000, 0.0000, 0.0000) x2
Y (0.0000, 0.5000, 0.2500) x2
Si (0.0000, 0.0000, 0.5000) x2
Si (0.0000, 0.5000, 0.7500) x2

Its density of states at the Fermi level is 5.2 states/eV/cell. For the spin magnetization, the calculation gives 0.00 Bohr magnetons per cell.

<3>
## BaYSi2 (PBE-GGA)

Data for a relaxed BaYSi2 crystal.

abc: 5.0308 5.0308 4.1631
angles: 90.00 90.00 90.00
Space group P4/mmm (No. 123)
Asymmetric unit:
Ba (0.0000, 0.0000, 0.0000) x1
Y (0.5000, 0.5000, 0.0000) x1
Si (0.0000, 0.5000, 0.5000) x2

Its density of states at the Fermi level is 3.1 states/eV/cell. For the spin magnetization, the calculation gives 0.00 Bohr magnetons per cell.

<4>
## BaYSi2 (PBE-GGA)

Data for a relaxed BaYSi2 crystal.

abc: 4.1014 4.1014 24.0798
angles: 90.00 90.00 120.00
Space group R3m (No. 160, hexagonal axes)
Asymmetric unit:
Ba (0.0000, 0.0000, 0.0000) x3
Y (0.0000, 0.0000, 0.1802) x3
Si (0.0000, 0.0000, 0.4288) x3
Si (0.0000, 0.0000, 0.7714) x3

Its density of states at the Fermi level is 12.4 states/eV/cell. For the spin magnetization, the calculation gives 0.00 Bohr magnetons per cell.

Which is most stable? The ranking, best first, is <1>, <4>, <3>, <2>.

<1>
## BaY3Si (PBE-GGA)

Data for a relaxed BaY3Si crystal.

abc: 5.6263 5.6263 5.6263
angles: 90.00 90.00 90.00
Space group Pm-3m (No. 221)
Asymmetric unit:
Ba (0.0000, 0.0000, 0.0000) x1
Y (0.0000, 0.5000, 0.5000) x3
Si (0.5000, 0.5000, 0.5000) x1

Its density of states at the Fermi level is 8.7 states/eV/cell. For the spin magnetization, the calculation gives 0.00 Bohr magnetons per cell.

<2>
## BaY3Si (PBE-GGA)

Data for a relaxed BaY3Si crystal.

abc: 5.6000 5.6000 5.6000
angles: 90.00 90.00 90.00
Space group Pm-3m (No. 221)
Asymmetric unit:
Ba (0.0000, 0.0000, 0.0000) x1
Y (0.0000, 0.0000, 0.5000) x3
Si (0.5000, 0.5000, 0.5000) x1

Its density of states at the Fermi level is 4.0 states/eV/cell. For the spin magnetization, the calculation gives 0.00 Bohr magnetons per cell.

Which is most stable? The ranking, best first, is <1>, <2>.

<1>
## BaYSi4 (PBE-GGA)

Data for a relaxed BaYSi4 crystal.

abc: 8.0257 8.0257 8.0257
angles: 90.00 90.00 90.00
Space group F-43m (No. 216)
Asymmetric unit:
Ba (0.0000, 0.0000, 0.0000) x4
Y (0.2500, 0.2500, 0.2500) x4
Si (0.1109, 0.1109, 0.6109) x16

Its density of states at the Fermi level is 15.5 states/eV/cell. For the spin magnetization, the calculation gives 0.00 Bohr magnetons per cell.

<2>
## BaYSi4 (PBE-GGA)

Data for a relaxed BaYSi4 crystal.

abc: 7.9331 15.7376 4.4390
angles: 90.00 90.00 90.00
Space group Pbam (No. 55)
Asymmetric unit:
Ba (0.1230, 0.1521, 0.0000) x4
Y (0.1306, 0.4126, 0.0000) x4
Si (0.0255, 0.6927, 0.5000) x4
Si (0.1216, 0.5453, 0.5000) x4
Si (0.1277, 0.9567, 0.5000) x4
Si (0.2215, 0.8079, 0.5000) x4

Its density of states at the Fermi level is 13.3 states/eV/cell. For the spin magnetization, the calculation gives 0.00 Bohr magnetons per cell.

Which is most stable? The ranking, best first, is <2>, <1>.

<1>
## Ba2Zn2Si (PBE-GGA)

Data for a relaxed Ba2Zn2Si crystal.

abc: 7.3739 7.3739 5.1867
angles: 90.00 90.00 90.00
Space group P4/mbm (No. 127)
Asymmetric unit:
Ba (0.1901, 0.3099, 0.0000) x4
Zn (0.1215, 0.6215, 0.5000) x4
Si (0.0000, 0.0000, 0.5000) x2

Its density of states at the Fermi level is 8.2 states/eV/cell. For the spin magnetization, the calculation gives 0.00 Bohr magnetons per cell.

<2>
## Ba2Zn2Si (PBE-GGA)

Data for a relaxed Ba2Zn2Si crystal.

abc: 3.8425 3.8425 20.7661
angles: 90.00 90.00 90.00
Space group I4/mmm (No. 139)
Asymmetric unit:
Ba (0.0000, 0.0000, 0.0973) x4
Zn (0.0000, 0.5000, 0.2500) x4
Si (0.0000, 0.0000, 0.5000) x2

Its density of states at the Fermi level is 6.5 states/eV/cell. For the spin magnetization, the calculation gives 0.00 Bohr magnetons per cell.

Which is most stable? The ranking, best first, is <1>, <2>.

<1>
## Ba2ZnSi (PBE-GGA)

Data for a relaxed Ba2ZnSi crystal.

abc: 6.9589 4.4827 9.4368
angles: 90.00 110.36 90.00
Space group P2_1/m (No. 11)
Asymmetric unit:
Ba (0.2076, 0.2500, 0.4214) x2
Ba (0.2237, 0.2500, 0.9339) x2
Zn (0.4114, 0.7500, 0.2314) x2
Si (0.3756, 0.7500, 0.7165) x2

Its density of states at the Fermi level is 5.0 states/eV/cell. For the spin magnetization, the calculation gives 0.00 Bohr magnetons per cell.

<2>
## Ba2ZnSi (PBE-GGA)

Data for a relaxed Ba2ZnSi crystal.

abc: 3.8792 3.8792 9.4221
angles: 90.00 90.00 90.00
Space group P4mm (No. 99)
Asymmetric unit:
Ba (0.0000, 0.0000, 0.0000) x1
Ba (0.5000, 0.5000, 0.4335) x1
Zn (0.5000, 0.5000, 0.7799) x1
Si (0.0000, 0.0000, 0.6561) x1

Its density of states at the Fermi level is 3.4 states/eV/cell. For the spin magnetization, the calculation gives 0.64 Bohr magnetons per cell.

Which is most stable? The ranking, best first, is <1>, <2>.